1.
The following is a PBE-GGA calculation of a geometry-optimized AcLaAg3 structure, from the Alexandria database.

Structure (CIF):
```
data_AcLaAg3
_cell_length_a 3.969
_cell_length_b 28.819
_cell_length_c 4.894
_cell_angle_alpha 90.00
_cell_angle_beta 90.00
_cell_angle_gamma 90.00
_space_group_name_H-M_alt 'C m c m'
_space_group_IT_number 63
_space_group_name_Hall '-C 2c 2'
loop_
_atom_site_label
_atom_site_fract_x
_atom_site_fract_y
_atom_site_fract_z
Ac1 0.000 0.074 0.250
La1 0.000 0.207 0.750
Ag1 0.000 0.325 0.750
Ag2 0.000 0.379 0.250
Ag3 0.000 0.476 0.250
```

Calculated values
For the formation energy, the calculation gives -277 meV/atom. Its density of states at the Fermi level is 0.85 states/eV/atom. The excess energy over the best structure of this formula in the dataset is 0.0000 eV/atom. Its size of the total moment is 0.0 μB/f.u.

***

2.
The following is a PBE-GGA calculation of a geometry-optimized Ac5LaAg6 structure, from the Alexandria database.

Structure (CIF):
```
data_Ac5LaAg6
_cell_length_a 5.605
_cell_length_b 16.789
_cell_length_c 7.813
_cell_angle_alpha 90.00
_cell_angle_beta 90.00
_cell_angle_gamma 90.00
_space_group_name_H-M_alt 'C m m m'
_space_group_IT_number 65
_space_group_name_Hall '-C 2 2'
loop_
_atom_site_label
_atom_site_fract_x
_atom_site_fract_y
_atom_site_fract_z
Ac1 0.000 0.000 0.000
Ac2 0.000 0.333 0.500
Ac3 0.000 0.334 0.000
La1 0.000 0.000 0.500
Ag1 0.000 0.164 0.253
Ag2 0.000 0.500 0.258
```

Calculated values
For the formation energy, the calculation gives -258 meV/atom. Its density of states at the Fermi level is 0.74 states/eV/atom. Its size of the total moment is 0.0 μB/f.u.

***

3.
The following is a PBE-GGA calculation of a geometry-optimized Ac3La2Ag2 structure, from the Alexandria database.

Structure (CIF):
```
data_Ac3La2Ag2
_cell_length_a 3.898
_cell_length_b 32.910
_cell_length_c 3.886
_cell_angle_alpha 90.00
_cell_angle_beta 90.00
_cell_angle_gamma 90.00
_space_group_name_H-M_alt 'C m m m'
_space_group_IT_number 65
_space_group_name_Hall '-C 2 2'
loop_
_atom_site_label
_atom_site_fract_x
_atom_site_fract_y
_atom_site_fract_z
Ac1 0.000 0.000 0.000
Ac2 0.000 0.122 0.000
La1 0.000 0.294 0.500
Ag1 0.000 0.439 0.500
```

Calculated values
For the formation energy, the calculation gives -65 meV/atom. Its density of states at the Fermi level is 1.51 states/eV/atom. Its size of the total moment is 0.0 μB/f.u.

***

4.
The following is a PBE-GGA calculation of a geometry-optimized Ac2La2Ag3 structure, from the Alexandria database.

Structure (CIF):
```
data_Ac2La2Ag3
_cell_length_a 9.500
_cell_length_b 5.498
_cell_length_c 9.352
_cell_angle_alpha 90.00
_cell_angle_beta 109.55
_cell_angle_gamma 90.00
_space_group_name_H-M_alt 'C 1 2/m 1'
_space_group_IT_number 12
_space_group_name_Hall '-C 2y'
loop_
_atom_site_label
_atom_site_fract_x
_atom_site_fract_y
_atom_site_fract_z
Ac1 0.122 0.000 0.365
La1 0.126 0.500 0.879
Ag1 0.000 0.500 0.500
Ag2 0.246 0.500 0.237
```

Calculated values
For the formation energy, the calculation gives -114 meV/atom. Its density of states at the Fermi level is 1.35 states/eV/atom. Its size of the total moment is 0.2 μB/f.u.

***

5.
The following is a PBE-GGA calculation of a geometry-optimized AcLaAg2 structure, from the Alexandria database.

Structure (CIF):
```
data_AcLaAg2
_cell_length_a 4.3963
_cell_length_b 4.3963
_cell_length_c 23.9327
_cell_angle_alpha 90.00
_cell_angle_beta 90.00
_cell_angle_gamma 120.00
_space_group_name_H-M_alt 'R 3 m'
_space_group_IT_number 160
_space_group_name_Hall 'R 3 -2"'
loop_
_atom_site_label
_atom_site_fract_x
_atom_site_fract_y
_atom_site_fract_z
Ac1 0.0000 0.0000 0.0000
La1 0.0000 0.0000 0.8290
Ag1 0.0000 0.0000 0.2442
Ag2 0.0000 0.0000 0.4173
```

Calculated values
For the formation energy, the calculation gives -76 meV/atom. Its density of states at the Fermi level is 1.34 states/eV/atom. The excess energy over the best structure of this formula in the dataset is 0.1831 eV/atom. Its size of the total moment is 0.0 μB/f.u.

***

6.
The following is a PBE-GGA calculation of a geometry-optimized AcLaLuAg structure, from the Alexandria database.

Structure (CIF):
```
data_AcLaLuAg
_cell_length_a 7.958
_cell_length_b 7.958
_cell_length_c 7.958
_cell_angle_alpha 90.00
_cell_angle_beta 90.00
_cell_angle_gamma 90.00
_space_group_name_H-M_alt 'F -4 3 m'
_space_group_IT_number 216
_space_group_name_Hall 'F -4 2 3'
loop_
_atom_site_label
_atom_site_fract_x
_atom_site_fract_y
_atom_site_fract_z
Ac1 0.000 0.000 0.000
La1 0.250 0.250 0.250
Lu1 0.250 0.250 0.750
Ag1 0.000 0.000 0.500
```

Calculated values
For the formation energy, the calculation gives 180 meV/atom. Its density of states at the Fermi level is 1.98 states/eV/atom. Its size of the total moment is 0.4 μB/f.u.

***

7.
The following is a PBE-GGA calculation of a geometry-optimized AcLaMgAg structure, from the Alexandria database.

Structure (CIF):
```
data_AcLaMgAg
_cell_length_a 7.948
_cell_length_b 7.948
_cell_length_c 7.948
_cell_angle_alpha 90.00
_cell_angle_beta 90.00
_cell_angle_gamma 90.00
_space_group_name_H-M_alt 'F -4 3 m'
_space_group_IT_number 216
_space_group_name_Hall 'F -4 2 3'
loop_
_atom_site_label
_atom_site_fract_x
_atom_site_fract_y
_atom_site_fract_z
Ac1 0.000 0.000 0.000
La1 0.000 0.000 0.500
Mg1 0.250 0.250 0.750
Ag1 0.250 0.250 0.250
```

Calculated values
For the formation energy, the calculation gives -127 meV/atom. Its density of states at the Fermi level is 1.07 states/eV/atom. The excess energy over the best structure of this formula in the dataset is 0.0490 eV/atom. Its size of the total moment is 0.0 μB/f.u.

***

8.
The following is a PBE-GGA calculation of a geometry-optimized AcLaMgAg structure, from the Alexandria database.

Structure (CIF):
```
data_AcLaMgAg
_cell_length_a 3.997
_cell_length_b 3.997
_cell_length_c 7.785
_cell_angle_alpha 90.00
_cell_angle_beta 90.00
_cell_angle_gamma 90.00
_space_group_name_H-M_alt 'P 4 m m'
_space_group_IT_number 99
_space_group_name_Hall 'P 4 -2'
loop_
_atom_site_label
_atom_site_fract_x
_atom_site_fract_y
_atom_site_fract_z
Ac1 0.000 0.000 0.000
La1 0.000 0.000 0.519
Mg1 0.500 0.500 0.274
Ag1 0.500 0.500 0.745
```

Calculated values
For the formation energy, the calculation gives -176 meV/atom. Its density of states at the Fermi level is 0.73 states/eV/atom. The excess energy over the best structure of this formula in the dataset is 0.0000 eV/atom. Its size of the total moment is 0.0 μB/f.u.

***

9.
The following is a PBE-GGA calculation of a geometry-optimized AcLa2AgN structure, from the Alexandria database.

Structure (CIF):
```
data_AcLa2AgN
_cell_length_a 5.069
_cell_length_b 5.069
_cell_length_c 5.397
_cell_angle_alpha 90.00
_cell_angle_beta 90.00
_cell_angle_gamma 90.00
_space_group_name_H-M_alt 'P 4/m m m'
_space_group_IT_number 123
_space_group_name_Hall '-P 4 2'
loop_
_atom_site_label
_atom_site_fract_x
_atom_site_fract_y
_atom_site_fract_z
Ac1 0.000 0.000 0.000
La1 0.000 0.500 0.500
Ag1 0.500 0.500 0.000
N1 0.000 0.000 0.500
```

Calculated values
The calculation puts the formation energy from raw total energies at -0.567 eV per atom. Its density of states at the Fermi level is 1.12 states/eV/atom. Its size of the total moment is 0.0 μB/f.u.

***

10.
The following is a PBE-GGA calculation of a geometry-optimized NaAcLaAg structure, from the Alexandria database.

Structure (CIF):
```
data_NaAcLaAg
_cell_length_a 8.037
_cell_length_b 8.037
_cell_length_c 8.037
_cell_angle_alpha 90.00
_cell_angle_beta 90.00
_cell_angle_gamma 90.00
_space_group_name_H-M_alt 'F -4 3 m'
_space_group_IT_number 216
_space_group_name_Hall 'F -4 2 3'
loop_
_atom_site_label
_atom_site_fract_x
_atom_site_fract_y
_atom_site_fract_z
Na1 0.000 0.000 0.000
Ac1 0.250 0.250 0.250
La1 0.250 0.250 0.750
Ag1 0.000 0.000 0.500
```

Calculated values
For the formation energy, the calculation gives 72 meV/atom. Its density of states at the Fermi level is 1.32 states/eV/atom. Its size of the total moment is 0.5 μB/f.u.

***

11.
The following is a PBE-GGA calculation of a geometry-optimized AcLaAgOs structure, from the Alexandria database.

Structure (CIF):
```
data_AcLaAgOs
_cell_length_a 7.465
_cell_length_b 7.465
_cell_length_c 7.465
_cell_angle_alpha 90.00
_cell_angle_beta 90.00
_cell_angle_gamma 90.00
_space_group_name_H-M_alt 'F -4 3 m'
_space_group_IT_number 216
_space_group_name_Hall 'F -4 2 3'
loop_
_atom_site_label
_atom_site_fract_x
_atom_site_fract_y
_atom_site_fract_z
Ac1 0.000 0.000 0.000
La1 0.000 0.000 0.500
Ag1 0.250 0.250 0.250
Os1 0.250 0.250 0.750
```

Calculated values
For the formation energy, the calculation gives -34 meV/atom. Its density of states at the Fermi level is 0.62 states/eV/atom. Its size of the total moment is 0.0 μB/f.u.

***

12.
The following is a PBE-GGA calculation of a geometry-optimized AcLaAgP structure, from the Alexandria database.

Structure (CIF):
```
data_AcLaAgP
_cell_length_a 7.556
_cell_length_b 7.556
_cell_length_c 7.556
_cell_angle_alpha 90.00
_cell_angle_beta 90.00
_cell_angle_gamma 90.00
_space_group_name_H-M_alt 'F -4 3 m'
_space_group_IT_number 216
_space_group_name_Hall 'F -4 2 3'
loop_
_atom_site_label
_atom_site_fract_x
_atom_site_fract_y
_atom_site_fract_z
Ac1 0.000 0.000 0.000
La1 0.000 0.000 0.500
Ag1 0.250 0.250 0.250
P1 0.250 0.250 0.750
```

Calculated values
For the formation energy, the calculation gives -595 meV/atom. Its density of states at the Fermi level is 1.06 states/eV/atom. Its size of the total moment is 0.0 μB/f.u.

***

- Which value of size of the total moment does entry 4 give?
  0.2 μB/f.u.

***

- Which value of size of the total moment does entry 8 give?
  0.0 μB/f.u.

***

Copy entry 10 word for word.
The following is a PBE-GGA calculation of a geometry-optimized NaAcLaAg structure, from the Alexandria database.

Structure (CIF):
```
data_NaAcLaAg
_cell_length_a 8.037
_cell_length_b 8.037
_cell_length_c 8.037
_cell_angle_alpha 90.00
_cell_angle_beta 90.00
_cell_angle_gamma 90.00
_space_group_name_H-M_alt 'F -4 3 m'
_space_group_IT_number 216
_space_group_name_Hall 'F -4 2 3'
loop_
_atom_site_label
_atom_site_fract_x
_atom_site_fract_y
_atom_site_fract_z
Na1 0.000 0.000 0.000
Ac1 0.250 0.250 0.250
La1 0.250 0.250 0.750
Ag1 0.000 0.000 0.500
```

Calculated values
For the formation energy, the calculation gives 72 meV/atom. Its density of states at the Fermi level is 1.32 states/eV/atom. Its size of the total moment is 0.5 μB/f.u.

***

Repeat the eleventh record exactly.
The following is a PBE-GGA calculation of a geometry-optimized AcLaAgOs structure, from the Alexandria database.

Structure (CIF):
```
data_AcLaAgOs
_cell_length_a 7.465
_cell_length_b 7.465
_cell_length_c 7.465
_cell_angle_alpha 90.00
_cell_angle_beta 90.00
_cell_angle_gamma 90.00
_space_group_name_H-M_alt 'F -4 3 m'
_space_group_IT_number 216
_space_group_name_Hall 'F -4 2 3'
loop_
_atom_site_label
_atom_site_fract_x
_atom_site_fract_y
_atom_site_fract_z
Ac1 0.000 0.000 0.000
La1 0.000 0.000 0.500
Ag1 0.250 0.250 0.250
Os1 0.250 0.250 0.750
```

Calculated values
For the formation energy, the calculation gives -34 meV/atom. Its density of states at the Fermi level is 0.62 states/eV/atom. Its size of the total moment is 0.0 μB/f.u.